No. 1
# MnAlTl2 (PBE, optimized geometry)
# - DFT formation energy (kJ/mol of formula units) = 352
# - VASP energy (eV per atom) = -3.499
# - DOS at the Fermi energy (states/eV per atom) = 1.76
# - offset from the most stable computed form (meV/atom) = 682
data_MnAlTl2
_chemical_formula_sum 'Mn4 Al4 Tl8'
_cell_length_a 6.859
_cell_length_b 6.859
_cell_length_c 6.859
_cell_angle_alpha 90.00
_cell_angle_beta 90.00
_cell_angle_gamma 90.00
_space_group_name_H-M_alt 'F m -3 m'
_space_group_IT_number 225
_space_group_name_Hall '-F 4 2 3'
loop_
_atom_site_label
_atom_site_type_symbol
_atom_site_fract_x
_atom_site_fract_y
_atom_site_fract_z
Mn1 Mn 0.000 0.000 0.000
Al1 Al 0.000 0.000 0.500
Tl1 Tl 0.250 0.250 0.250

=====

No. 2
# Ba2SrAl2Sb4 (PBE, optimized geometry)
# - VASP energy (eV per atom) = -4.010
# - energy relative to the elements, uncorrected (meV per atom) = -731.8
# - DOS at the Fermi energy (states/eV per atom) = 0.21
data_Ba2SrAl2Sb4
_chemical_formula_sum 'Ba4 Sr2 Al4 Sb8'
_cell_length_a 17.234
_cell_length_b 4.594
_cell_length_c 8.293
_cell_angle_alpha 90.00
_cell_angle_beta 109.60
_cell_angle_gamma 90.00
_space_group_name_H-M_alt 'C 1 2/m 1'
_space_group_IT_number 12
_space_group_name_Hall '-C 2y'
loop_
_atom_site_label
_atom_site_type_symbol
_atom_site_fract_x
_atom_site_fract_y
_atom_site_fract_z
Ba1 Ba 0.129 0.000 0.054
Sr1 Sr 0.000 0.000 0.500
Al1 Al 0.170 0.500 0.478
Sb1 Sb 0.023 0.500 0.230
Sb2 Sb 0.211 0.000 0.686

=====

No. 3
# Dy3CN (PBE, optimized geometry)
# - VASP energy (eV per atom) = -6.913
# - energy relative to the elements, uncorrected (meV per atom) = -642.3
# - DOS at the Fermi energy (states/eV per atom) = 0.60
data_Dy3CN
_chemical_formula_sum 'Dy24 C8 N8'
_cell_length_a 12.101
_cell_length_b 11.007
_cell_length_c 6.333
_cell_angle_alpha 90.00
_cell_angle_beta 102.54
_cell_angle_gamma 90.00
_space_group_name_H-M_alt 'C 1 2/c 1'
_space_group_IT_number 15
_space_group_name_Hall '-C 2yc'
loop_
_atom_site_label
_atom_site_type_symbol
_atom_site_fract_x
_atom_site_fract_y
_atom_site_fract_z
Dy1 Dy 0.114 0.248 0.125
Dy2 Dy 0.115 0.412 0.627
Dy3 Dy 0.131 0.080 0.654
C1 C 0.000 0.237 0.750
C2 C 0.000 0.411 0.250
N1 N 0.190 0.092 0.342

=====

No. 4
# RbSeS2 (PBE, optimized geometry)
# - VASP energy (eV per atom) = -3.175
# - energy relative to the elements, uncorrected (meV per atom) = 1.9
# - DOS at the Fermi energy (states/eV per atom) = 1.33
data_RbSeS2
_chemical_formula_sum 'Rb3 Se3 S6'
_cell_length_a 5.6436
_cell_length_b 5.6436
_cell_length_c 18.4435
_cell_angle_alpha 90.00
_cell_angle_beta 90.00
_cell_angle_gamma 120.00
_space_group_name_H-M_alt 'R -3 m'
_space_group_IT_number 166
_space_group_name_Hall '-R 3 2"'
loop_
_atom_site_label
_atom_site_type_symbol
_atom_site_fract_x
_atom_site_fract_y
_atom_site_fract_z
Rb1 Rb 0.0000 0.0000 0.0000
Se1 Se 0.0000 0.0000 0.5000
S1 S 0.0000 0.0000 0.3759

=====

No. 5
# AcLa8Pm6 (PBE, optimized geometry)
# - DFT formation energy (kJ/mol of formula units) = 300
# - VASP energy (eV per atom) = -4.595
# - DOS at the Fermi energy (states/eV per atom) = 1.66
data_AcLa8Pm6
_chemical_formula_sum 'Ac3 La24 Pm18'
_cell_length_a 9.7391
_cell_length_b 9.7391
_cell_length_c 20.7501
_cell_angle_alpha 90.00
_cell_angle_beta 90.00
_cell_angle_gamma 120.00
_space_group_name_H-M_alt 'R -3'
_space_group_IT_number 148
_space_group_name_Hall '-R 3'
loop_
_atom_site_label
_atom_site_type_symbol
_atom_site_fract_x
_atom_site_fract_y
_atom_site_fract_z
Ac1 Ac 0.0000 0.0000 0.0000
La1 La 0.0000 0.0000 0.2389
La2 La 0.0065 0.6976 0.1249
Pm1 Pm 0.0024 0.7245 0.6276

=====

No. 6
# LaAlPd3 (PBE, optimized geometry)
# - DFT formation energy (kJ/mol of formula units) = -363
# - VASP energy (eV per atom) = -5.603
# - DOS at the Fermi energy (states/eV per atom) = 0.43
# - offset from the most stable computed form (meV/atom) = 0
data_LaAlPd3
_chemical_formula_sum 'La4 Al4 Pd12'
_cell_length_a 6.2305
_cell_length_b 6.2305
_cell_length_c 12.0650
_cell_angle_alpha 90.00
_cell_angle_beta 90.00
_cell_angle_gamma 120.00
_space_group_name_H-M_alt 'P 63/m m c'
_space_group_IT_number 194
_space_group_name_Hall '-P 6c 2c'
loop_
_atom_site_label
_atom_site_type_symbol
_atom_site_fract_x
_atom_site_fract_y
_atom_site_fract_z
La1 La 0.0000 0.0000 0.0000
La2 La 0.3333 0.6667 0.2500
Al1 Al 0.3333 0.6667 0.6395
Pd1 Pd 0.0000 0.5000 0.0000
Pd2 Pd 0.1424 0.2847 0.7500

=====

No. 7
# MgInHg2 (PBE, optimized geometry)
# - DFT formation energy (kJ/mol of formula units) = -27
# - VASP energy (eV per atom) = -1.303
# - DOS at the Fermi energy (states/eV per atom) = 0.35
data_MgInHg2
_chemical_formula_sum 'Mg2 In2 Hg4'
_cell_length_a 4.406
_cell_length_b 4.406
_cell_length_c 9.830
_cell_angle_alpha 90.00
_cell_angle_beta 90.00
_cell_angle_gamma 90.00
_space_group_name_H-M_alt 'I -4 m 2'
_space_group_IT_number 119
_space_group_name_Hall 'I -4 -2'
loop_
_atom_site_label
_atom_site_type_symbol
_atom_site_fract_x
_atom_site_fract_y
_atom_site_fract_z
Mg1 Mg 0.000 0.000 0.000
In1 In 0.000 0.500 0.250
Hg1 Hg 0.000 0.000 0.500
Hg2 Hg 0.000 0.500 0.750

=====

No. 8
# Be2Zn2Fe (PBE, optimized geometry)
# - DFT formation energy (kJ/mol of formula units) = 101
# - VASP energy (eV per atom) = -3.483
# - DOS at the Fermi energy (states/eV per atom) = 0.34
# - offset from the most stable computed form (meV/atom) = 68
data_Be2Zn2Fe
_chemical_formula_sum 'Be4 Zn4 Fe2'
_cell_length_a 6.667
_cell_length_b 6.667
_cell_length_c 2.548
_cell_angle_alpha 90.00
_cell_angle_beta 90.00
_cell_angle_gamma 90.00
_space_group_name_H-M_alt 'P 4/m b m'
_space_group_IT_number 127
_space_group_name_Hall '-P 4 2ab'
loop_
_atom_site_label
_atom_site_type_symbol
_atom_site_fract_x
_atom_site_fract_y
_atom_site_fract_z
Be1 Be 0.168 0.332 0.000
Zn1 Zn 0.134 0.634 0.500
Fe1 Fe 0.000 0.000 0.500